Below is Li3VFe4O8 after structural relaxation, with properties calculated at the PBE+U level.

```
Li3VFe4O8
1.0
-3.6847 -3.1472 -3.6628
2.1873 -4.6073 -3.2994
-1.5076 -5.7253 1.3568
Li V Fe O
3 1 4 8
direct
0.5000 0.0000 0.0000
0.0000 0.0000 0.5000
0.0000 0.5000 0.0000
0.5000 0.5000 0.0000
0.5000 0.5000 0.5000
0.0000 0.0000 0.0000
0.5000 0.0000 0.5000
0.0000 0.5000 0.5000
0.2574 0.2574 0.2584
0.7489 0.2712 0.7449
0.2712 0.7489 0.7449
0.7559 0.7559 0.2609
0.2441 0.2441 0.7391
0.7288 0.2511 0.2551
0.2511 0.7288 0.2551
0.7426 0.7426 0.7416
```

Results
DFT total energy in eV per atom: -6.4339
V in A^3/atom: 9.85
Symmetry: C2/m